--- one ---
VASP calculation (PBE) on crystalline Sm2CoNi at its relaxed geometry.

a = 4.8592 Å, b = 4.8592 Å, c = 3.4210 Å
α = 90.00°, β = 90.00°, γ = 90.00°
Last column: nearest neighbours and their distance in Å.
Positions (direct):
Sm: 0.0000 0.5000 0.0000  4 Co 2.97, 4 Ni 2.97
Sm: 0.5000 0.0000 0.0000  4 Co 2.97, 4 Ni 2.97
Co: 0.0000 0.0000 0.5000  8 Sm 2.97
Ni: 0.5000 0.5000 0.5000  8 Sm 2.97

Values from the calculation:
Space group: P4/mmm, No. 123
ρ: 8.60 g/cm3
Total magnetization: 0.284 μB per formula unit
V: 20.19 Å³ per atom



--- two ---
VASP calculation (PBE) on crystalline Sm2CoNi at its relaxed geometry.

a = 7.3818 Å, b = 7.3818 Å, c = 7.3818 Å
α = 31.02°, β = 31.02°, γ = 31.02°
Last column: nearest neighbours and their distance in Å.
Positions (direct):
Sm: 0.0000 0.0000 0.0000  3 Ni 2.94, 3 Co 2.95
Sm: 0.1767 0.1767 0.1767  3 Co 2.94, 3 Ni 2.94
Co: 0.7554 0.7554 0.7554  3 Ni 2.28
Ni: 0.4215 0.4215 0.4215  3 Co 2.28

Values from the calculation:
Space group: R3m, No. 160
ρ: 7.33 g/cm3
Total magnetization: 0.000 μB per formula unit
V: 23.69 Å³ per atom



Verdict on stability: two comes out on top.



--- one ---
VASP calculation (PBE) on crystalline CoNiSn2 at its relaxed geometry.

a = 9.0286 Å, b = 9.0286 Å, c = 9.0286 Å
α = 20.01°, β = 20.01°, γ = 20.01°
Last column: nearest neighbours and their distance in Å.
Positions (direct):
Co: 0.0000 0.0000 0.0000  6 Sn 2.65
Ni: 0.5000 0.5000 0.5000  2 Sn 2.49
Sn: 0.4061 0.4061 0.4061  1 Ni 2.49, 3 Co 2.65
Sn: 0.5939 0.5939 0.5939  1 Ni 2.49, 3 Co 2.65

Values from the calculation:
Space group: R-3m, No. 166
ρ: 7.82 g/cm3
Total magnetization: 1.109 μB per formula unit
V: 18.85 Å³ per atom



--- two ---
VASP calculation (PBE) on crystalline CoNiSn2 at its relaxed geometry.

a = 4.4841 Å, b = 4.4841 Å, c = 4.4841 Å
α = 60.00°, β = 60.00°, γ = 60.00°
Last column: nearest neighbours and their distance in Å.
Positions (direct):
Co: 0.0000 0.0000 0.0000  8 Sn 2.75
Ni: 0.5000 0.5000 0.5000  8 Sn 2.75
Sn: 0.2500 0.2500 0.2500  4 Co 2.75, 4 Ni 2.75
Sn: 0.7500 0.7500 0.7500  4 Co 2.75, 4 Ni 2.75

Values from the calculation:
Space group: Fm-3m, No. 225
ρ: 9.25 g/cm3
Total magnetization: 0.000 μB per formula unit
V: 15.94 Å³ per atom



--- three ---
VASP calculation (PBE) on crystalline CoNiSn2 at its relaxed geometry.

a = 5.7607 Å, b = 5.7607 Å, c = 5.7607 Å
α = 105.68°, β = 105.68°, γ = 117.35°
Last column: nearest neighbours and their distance in Å.
Positions (direct):
Co: 0.0000 0.0000 0.0000  4 Sn 2.56
Co: 0.7500 0.2500 0.5000  4 Sn 2.56
Ni: 0.2500 0.7500 0.5000  4 Sn 2.58
Ni: 0.5000 0.5000 0.0000  4 Sn 2.58
Sn: 0.1233 0.1250 0.4983  2 Co 2.56, 2 Ni 2.58
Sn: 0.3750 0.8767 0.0017  2 Co 2.56, 2 Ni 2.58
Sn: 0.6267 0.6250 0.5017  2 Co 2.56, 2 Ni 2.58
Sn: 0.8750 0.3733 0.9983  2 Co 2.56, 2 Ni 2.58

Values from the calculation:
Space group: I-42d, No. 122
ρ: 8.13 g/cm3
Total magnetization: 0.017 μB per formula unit
V: 18.13 Å³ per atom



Verdict on stability: two comes out on top.



--- one ---
VASP calculation (PBE) on crystalline CoNiSn3 at its relaxed geometry.

a = 3.2785 Å, b = 7.6126 Å, c = 8.7209 Å
α = 102.55°, β = 100.78°, γ = 102.35°
Last column: nearest neighbours and their distance in Å.
Positions (direct):
Co: 0.1338 0.1296 0.1386  6 Sn 2.52-2.66, 1 Co 2.63
Co: 0.8662 0.8704 0.8614  6 Sn 2.52-2.66, 1 Co 2.63
Ni: 0.0368 0.7597 0.3125  7 Sn 2.59-2.83
Ni: 0.9632 0.2403 0.6875  7 Sn 2.59-2.83
Sn: 0.2955 0.1526 0.4382  1 Co 2.53, 2 Ni 2.63
Sn: 0.3638 0.4795 0.2446  1 Co 2.52, 2 Ni 2.59
Sn: 0.4651 0.8379 0.0911  4 Co 2.62-2.66, 2 Ni 2.68-2.69
Sn: 0.5349 0.1621 0.9089  4 Co 2.62-2.66, 2 Ni 2.68-2.69
Sn: 0.6362 0.5205 0.7554  1 Co 2.52, 2 Ni 2.59
Sn: 0.7045 0.8474 0.5618  1 Co 2.53, 2 Ni 2.63

Values from the calculation:
Space group: P-1, No. 2
ρ: 7.82 g/cm3
Total magnetization: 0.360 μB per formula unit
V: 20.12 Å³ per atom



--- two ---
VASP calculation (PBE) on crystalline CoNiSn3 at its relaxed geometry.

a = 4.8339 Å, b = 4.8339 Å, c = 4.8339 Å
α = 90.00°, β = 90.00°, γ = 90.00°
Last column: nearest neighbours and their distance in Å.
Positions (direct):
Co: 0.0000 0.0000 0.0000  6 Sn 2.42
Ni: 0.5000 0.5000 0.5000  12 Sn 3.42
Sn: 0.0000 0.0000 0.5000  2 Co 2.42
Sn: 0.0000 0.5000 0.0000  2 Co 2.42
Sn: 0.5000 0.0000 0.0000  2 Co 2.42

Values from the calculation:
Space group: Pm-3m, No. 221
ρ: 6.96 g/cm3
Total magnetization: 0.000 μB per formula unit
V: 22.59 Å³ per atom



Verdict on stability: one comes out on top.



--- one ---
VASP calculation (PBE) on crystalline CoNiSn6 at its relaxed geometry.

a = 7.9751 Å, b = 7.9751 Å, c = 9.2466 Å
α = 124.83°, β = 124.83°, γ = 70.91°
Last column: nearest neighbours and their distance in Å.
Positions (direct):
Co: 0.0000 0.5000 0.0000  6 Sn 2.51-2.52
Co: 0.5000 0.0000 0.0000  6 Sn 2.51-2.52
Ni: 0.0000 0.5000 0.5000  6 Sn 2.54-2.55
Ni: 0.5000 0.0000 0.5000  6 Sn 2.54-2.55
Sn: 0.1553 0.5147 0.8356  1 Co 2.51, 1 Ni 2.54
Sn: 0.1638 0.8315 0.3195  1 Co 2.52, 1 Ni 2.54
Sn: 0.1685 0.8362 0.6805  1 Co 2.52, 1 Ni 2.54
Sn: 0.3145 0.3145 0.1454  2 Co 2.51
Sn: 0.3255 0.3255 0.4872  2 Ni 2.55
Sn: 0.4853 0.8447 0.1644  1 Co 2.51, 1 Ni 2.54
Sn: 0.5147 0.1553 0.8356  1 Co 2.51, 1 Ni 2.54
Sn: 0.6745 0.6745 0.5128  2 Ni 2.55
Sn: 0.6855 0.6855 0.8546  2 Co 2.51
Sn: 0.8315 0.1638 0.3195  1 Co 2.52, 1 Ni 2.54
Sn: 0.8362 0.1685 0.6805  1 Co 2.52, 1 Ni 2.54
Sn: 0.8447 0.4853 0.1644  1 Co 2.51, 1 Ni 2.54

Values from the calculation:
Space group: C2/m, No. 12
ρ: 6.95 g/cm3
Total magnetization: 0.000 μB per formula unit
V: 24.77 Å³ per atom



--- two ---
VASP calculation (PBE) on crystalline CoNiSn6 at its relaxed geometry.

a = 5.7617 Å, b = 6.1175 Å, c = 6.7818 Å
α = 67.66°, β = 65.62°, γ = 62.82°
Last column: nearest neighbours and their distance in Å.
Positions (direct):
Co: 0.0000 0.0000 0.0000  6 Sn 2.50-2.56
Ni: 0.5000 0.5000 0.5000  6 Sn 2.54-2.62
Sn: 0.0369 0.7595 0.7440  1 Co 2.56, 1 Ni 2.62
Sn: 0.2778 0.5877 0.2093  1 Co 2.53, 1 Ni 2.54
Sn: 0.4145 0.0868 0.7169  1 Co 2.50, 1 Ni 2.55
Sn: 0.5855 0.9132 0.2831  1 Co 2.50, 1 Ni 2.55
Sn: 0.7222 0.4123 0.7907  1 Co 2.53, 1 Ni 2.54
Sn: 0.9631 0.2405 0.2560  1 Co 2.56, 1 Ni 2.62

Values from the calculation:
Space group: P-1, No. 2
ρ: 7.32 g/cm3
Total magnetization: 0.000 μB per formula unit
V: 23.52 Å³ per atom



Verdict on stability: one comes out on top.



--- one ---
VASP calculation (PBE) on crystalline Co2NiSn2 at its relaxed geometry.

a = 7.1866 Å, b = 7.1866 Å, c = 2.9831 Å
α = 90.00°, β = 90.00°, γ = 90.00°
Last column: nearest neighbours and their distance in Å.
Positions (direct):
Co: 0.1350 0.3650 0.0000  6 Sn 2.54-2.62, 1 Co 2.74
Co: 0.3650 0.8650 0.0000  6 Sn 2.54-2.62, 1 Co 2.74
Co: 0.6350 0.1350 0.0000  6 Sn 2.54-2.62, 1 Co 2.74
Co: 0.8650 0.6350 0.0000  6 Sn 2.54-2.62, 1 Co 2.74
Ni: 0.0000 0.0000 0.5000  4 Sn 2.69, 2 Ni 2.98
Ni: 0.5000 0.5000 0.5000  4 Sn 2.69, 2 Ni 2.98
Sn: 0.1628 0.6628 0.5000  6 Co 2.54-2.62, 2 Ni 2.69
Sn: 0.3372 0.1628 0.5000  6 Co 2.54-2.62, 2 Ni 2.69
Sn: 0.6628 0.8372 0.5000  6 Co 2.54-2.62, 2 Ni 2.69
Sn: 0.8372 0.3372 0.5000  6 Co 2.54-2.62, 2 Ni 2.69

Values from the calculation:
Space group: P4/mbm, No. 127
ρ: 8.92 g/cm3
Total magnetization: 0.000 μB per formula unit
V: 15.41 Å³ per atom



--- two ---
VASP calculation (PBE) on crystalline Co2NiSn2 at its relaxed geometry.

a = 6.4739 Å, b = 6.4739 Å, c = 3.6301 Å
α = 90.00°, β = 90.00°, γ = 90.00°
Last column: nearest neighbours and their distance in Å.
Positions (direct):
Co: 0.1313 0.3687 0.0000  1 Co 2.40, 2 Ni 2.53, 2 Sn 2.55
Co: 0.3687 0.8687 0.0000  1 Co 2.40, 2 Ni 2.53, 2 Sn 2.55
Co: 0.6313 0.1313 0.0000  1 Co 2.40, 2 Ni 2.53, 2 Sn 2.55
Co: 0.8687 0.6313 0.0000  1 Co 2.40, 2 Ni 2.53, 2 Sn 2.55
Ni: 0.0000 0.0000 0.0000  4 Co 2.53
Ni: 0.5000 0.5000 0.0000  4 Co 2.53
Sn: 0.1730 0.6730 0.5000  6 Co 2.55-2.69
Sn: 0.3270 0.1730 0.5000  6 Co 2.55-2.69
Sn: 0.6730 0.8270 0.5000  6 Co 2.55-2.69
Sn: 0.8270 0.3270 0.5000  6 Co 2.55-2.69

Values from the calculation:
Space group: P4/mbm, No. 127
ρ: 9.04 g/cm3
Total magnetization: 1.728 μB per formula unit
V: 15.21 Å³ per atom



Verdict on stability: two comes out on top.



--- one ---
VASP calculation (PBE) on crystalline CoNi2Sn4 at its relaxed geometry.

a = 6.4897 Å, b = 6.4897 Å, c = 5.3028 Å
α = 104.32°, β = 104.32°, γ = 36.25°
Last column: nearest neighbours and their distance in Å.
Positions (direct):
Co: 0.0000 0.0000 0.0000  6 Sn 2.53-2.60, 2 Ni 2.80
Ni: 0.2169 0.2169 0.3357  2 Ni 2.65, 7 Sn 2.67-2.79, 1 Co 2.80
Ni: 0.7831 0.7831 0.6643  2 Ni 2.65, 7 Sn 2.67-2.79, 1 Co 2.80
Sn: 0.1682 0.1682 0.8108  1 Co 2.53, 4 Ni 2.69-2.74
Sn: 0.4276 0.4276 0.6940  2 Co 2.60, 3 Ni 2.67-2.79
Sn: 0.5724 0.5724 0.3060  2 Co 2.60, 3 Ni 2.67-2.79
Sn: 0.8318 0.8318 0.1892  1 Co 2.53, 4 Ni 2.69-2.74

Values from the calculation:
Space group: C2/m, No. 12
ρ: 8.48 g/cm3
Total magnetization: 0.000 μB per formula unit
V: 18.21 Å³ per atom



--- two ---
VASP calculation (PBE) on crystalline CoNi2Sn4 at its relaxed geometry.

a = 9.2786 Å, b = 9.2786 Å, c = 9.2786 Å
α = 25.60°, β = 25.60°, γ = 25.60°
Last column: nearest neighbours and their distance in Å.
Positions (direct):
Co: 0.0000 0.0000 0.0000  2 Ni 2.53, 6 Sn 2.65
Ni: 0.0939 0.0939 0.0939  1 Co 2.53, 6 Sn 2.59-2.73
Ni: 0.9061 0.9061 0.9061  1 Co 2.53, 6 Sn 2.59-2.73
Sn: 0.2013 0.2013 0.2013  4 Ni 2.59-2.89
Sn: 0.3770 0.3770 0.3770  3 Co 2.65, 3 Ni 2.73
Sn: 0.6230 0.6230 0.6230  3 Co 2.65, 3 Ni 2.73
Sn: 0.7987 0.7987 0.7987  4 Ni 2.59-2.89

Values from the calculation:
Space group: R-3m, No. 166
ρ: 8.23 g/cm3
Total magnetization: 0.000 μB per formula unit
V: 18.76 Å³ per atom



Verdict on stability: one comes out on top.



--- one ---
VASP calculation (PBE) on crystalline SrCo2Ni2 at its relaxed geometry.

a = 5.6137 Å, b = 5.6137 Å, c = 5.6137 Å
α = 137.26°, β = 137.26°, γ = 62.03°
Last column: nearest neighbours and their distance in Å.
Positions (direct):
Sr: 0.0000 0.0000 0.0000  8 Co 3.11, 8 Ni 3.16
Co: 0.3812 0.3812 0.0000  1 Co 2.29, 4 Ni 2.40
Co: 0.6188 0.6188 0.0000  1 Co 2.29, 4 Ni 2.40
Ni: 0.2500 0.7500 0.5000  4 Co 2.40
Ni: 0.7500 0.2500 0.5000  4 Co 2.40

Values from the calculation:
Space group: I4/mmm, No. 139
ρ: 6.66 g/cm3
Total magnetization: 4.073 μB per formula unit
V: 16.10 Å³ per atom



--- two ---
VASP calculation (PBE) on crystalline SrCo2Ni2 at its relaxed geometry.

a = 7.3801 Å, b = 7.3801 Å, c = 2.6776 Å
α = 90.00°, β = 90.00°, γ = 90.00°
Last column: nearest neighbours and their distance in Å.
Positions (direct):
Sr: 0.0000 0.0000 0.0000  2 Sr 2.68, 4 Co 2.97
Sr: 0.5000 0.5000 0.0000  2 Sr 2.68, 4 Co 2.97
Co: 0.1141 0.3859 0.0000  1 Co 2.38, 6 Ni 2.54-2.60
Co: 0.3859 0.8859 0.0000  1 Co 2.38, 6 Ni 2.54-2.60
Co: 0.6141 0.1141 0.0000  1 Co 2.38, 6 Ni 2.54-2.60
Co: 0.8859 0.6141 0.0000  1 Co 2.38, 6 Ni 2.54-2.60
Ni: 0.1726 0.6726 0.5000  6 Co 2.54-2.60, 2 Ni 2.68
Ni: 0.3274 0.1726 0.5000  6 Co 2.54-2.60, 2 Ni 2.68
Ni: 0.6726 0.8274 0.5000  6 Co 2.54-2.60, 2 Ni 2.68
Ni: 0.8274 0.3274 0.5000  6 Co 2.54-2.60, 2 Ni 2.68

Values from the calculation:
Space group: P4/mbm, No. 127
ρ: 7.35 g/cm3
Total magnetization: 4.300 μB per formula unit
V: 14.58 Å³ per atom



--- three ---
VASP calculation (PBE) on crystalline SrCo2Ni2 at its relaxed geometry.

a = 5.7792 Å, b = 5.7792 Å, c = 5.7792 Å
α = 139.41°, β = 139.41°, γ = 58.76°
Last column: nearest neighbours and their distance in Å.
Positions (direct):
Sr: 0.0000 0.0000 0.0000  8 Ni 3.10, 8 Co 3.22
Co: 0.2500 0.7500 0.5000  4 Ni 2.38
Co: 0.7500 0.2500 0.5000  4 Ni 2.38
Ni: 0.3767 0.3767 0.0000  4 Co 2.38, 1 Ni 2.48
Ni: 0.6233 0.6233 0.0000  4 Co 2.38, 1 Ni 2.48

Values from the calculation:
Space group: I4/mmm, No. 139
ρ: 6.62 g/cm3
Total magnetization: 4.274 μB per formula unit
V: 16.19 Å³ per atom



Verdict on stability: three comes out on top.



--- one ---
VASP calculation (PBE) on crystalline SrCoNi at its relaxed geometry.

a = 5.7540 Å, b = 5.7540 Å, c = 5.7540 Å
α = 146.56°, β = 146.56°, γ = 48.02°
Last column: nearest neighbours and their distance in Å.
Positions (direct):
Sr: 0.0000 0.0000 0.0000  1 Co 2.91, 1 Ni 2.95
Co: 0.2772 0.2772 0.0000  4 Ni 2.42
Ni: 0.7196 0.7196 0.0000  4 Co 2.42

Values from the calculation:
Space group: I4mm, No. 107
ρ: 5.91 g/cm3
Total magnetization: 2.029 μB per formula unit
V: 19.21 Å³ per atom



--- two ---
VASP calculation (PBE) on crystalline SrCoNi at its relaxed geometry.

a = 4.6336 Å, b = 4.6336 Å, c = 4.6336 Å
α = 60.00°, β = 60.00°, γ = 60.00°
Last column: nearest neighbours and their distance in Å.
Positions (direct):
Sr: 0.0000 0.0000 0.0000  4 Co 2.84, 4 Ni 2.84
Co: 0.2500 0.2500 0.2500  4 Sr 2.84
Ni: 0.7500 0.7500 0.7500  4 Sr 2.84

Values from the calculation:
Space group: F-43m, No. 216
ρ: 4.85 g/cm3
Total magnetization: 1.634 μB per formula unit
V: 23.45 Å³ per atom



Verdict on stability: one comes out on top.